1.
DFT (PBEsol) results for a geometry-optimized TaTc2Ru structure.

It has space group Cm (No. 8), with a = 9.108 Å, b = 2.786 Å, c = 4.728 Å, α = 90.00°, β = 100.25° and γ = 90.00°. The inequivalent atoms are Ta at (0.000, 0.000, 0.000), Tc at (0.238, 0.000, 0.719), Tc at (0.494, 0.000, 0.497) and Ru at (0.254, 0.500, 0.250).

The excess energy over the best structure of this formula in the dataset is 0 meV/atom. The calculation puts the energy relative to the elements at 0.016 eV/atom.

---

2.
DFT (PBEsol) results for a geometry-optimized ZrAgRu2 structure.

It has space group Pmm2 (No. 25), with a = 2.896 Å, b = 3.836 Å, c = 5.715 Å, α = 90.00°, β = 90.00° and γ = 90.00°. The inequivalent atoms are Zr at (0.000, 0.000, 0.000), Ag at (0.500, 0.500, 0.278), Ru at (0.000, 0.000, 0.548) and Ru at (0.500, 0.500, 0.743).

The calculation puts the energy relative to the elements at 0.029 eV/atom.

---

3.
DFT (PBEsol) results for a geometry-optimized KCrS2O8 structure.

It has space group P-3c1 (No. 165), with a = 4.7613 Å, b = 4.7613 Å, c = 16.0943 Å, α = 90.00°, β = 90.00° and γ = 120.00°. The inequivalent atoms are K at (0.0000, 0.0000, 0.2500), Cr at (0.0000, 0.0000, 0.0000), S at (0.3333, 0.6667, 0.3959), O at (0.0585, 0.3535, 0.4268) and O at (0.3333, 0.6667, 0.3054).

The calculation puts the uncorrected formation energy at -1.67 eV/atom. The excess energy over the best structure of this formula in the dataset is 0 meV/atom.

---

4.
DFT (PBEsol) results for a geometry-optimized Mo3AuO structure.

It has space group Pm-3m (No. 221), with a = 4.778 Å, b = 4.778 Å, c = 4.778 Å, α = 90.00°, β = 90.00° and γ = 90.00°. The inequivalent atoms are Mo at (0.000, 0.000, 0.500), Au at (0.000, 0.000, 0.000) and O at (0.500, 0.500, 0.500).

The calculation puts the uncorrected formation energy at 2.97 eV/atom. The excess energy over the best structure of this formula in the dataset is 3241 meV/atom.

---

5.
DFT (PBEsol) results for a geometry-optimized KLa2Si structure.

It has space group P4mm (No. 99), with a = 4.007 Å, b = 4.007 Å, c = 8.564 Å, α = 90.00°, β = 90.00° and γ = 90.00°. The inequivalent atoms are K at (0.000, 0.000, 0.000), La at (0.000, 0.000, 0.593), La at (0.500, 0.500, 0.393) and Si at (0.500, 0.500, 0.730).

The calculation puts the uncorrected formation energy at -0.02 eV/atom.

---

6.
DFT (PBEsol) results for a geometry-optimized BaZrSb2 structure.

It has space group R-3m (No. 166, hexagonal axes), with a = 4.2959 Å, b = 4.2959 Å, c = 23.4630 Å, α = 90.00°, β = 90.00° and γ = 120.00°. The inequivalent atoms are Ba at (0.0000, 0.0000, 0.0000), Zr at (0.0000, 0.0000, 0.5000) and Sb at (0.0000, 0.0000, 0.2342).

The calculation puts the uncorrected formation energy at -0.81 eV/atom. The excess energy over the best structure of this formula in the dataset is 0 meV/atom.

---

Number 1: uncorrected energy -11.298 eV per atom. Number 2: uncorrected energy -8.158 eV per atom. Number 3: uncorrected energy -6.853 eV per atom. Number 4: uncorrected energy -5.929 eV per atom. Number 5: uncorrected energy -4.410 eV per atom. Number 6: uncorrected energy -5.899 eV per atom.